# SrZnCu2Rh, relaxed, DFT PBEsol
# - Crystal system: tetragonal
# - Space group: P4/mmm
# - Formation energy: 1956.5 meV/atom
data_SrZnCu2Rh
_space_group_name_H-M_alt 'P 1'
_space_group_IT_number 1
_space_group_name_Hall 'P 1'
_cell_length_a 4.818
_cell_length_b 4.818
_cell_length_c 5.112
_cell_angle_alpha 90.00
_cell_angle_beta 90.00
_cell_angle_gamma 90.00
loop_
_atom_site_label
_atom_site_type_symbol
_atom_site_fract_x
_atom_site_fract_y
_atom_site_fract_z
Cu1 Cu 0.000 0.500 0.000
Cu2 Cu 0.500 0.000 0.000
Zn1 Zn 0.000 0.000 0.500
Rh1 Rh 0.500 0.500 0.500
Sr1 Sr 0.000 0.000 0.000